[1]
First-principles (PBE) data for a relaxed structure of Rb2LiNbSe4, as listed in the Alexandria database.

Summary:
Formation energy (no corrections): -1.11 eV/atom
Space-group type: No. 70
Mass density: 3562 kg/m3
Calculated volume: 546.9 Å³/cell

a = 6.121 Å, b = 7.708 Å, c = 12.996 Å
α = 84.63°, β = 76.38°, γ = 66.61°
Element x y z (fractional)
1 Se 0.528 0.301 0.608
2 Se 0.170 0.301 0.392
3 Se 0.887 0.801 0.892
4 Se 0.580 0.199 0.108
5 Se 0.438 0.699 0.392
6 Se 0.222 0.199 0.892
7 Se 0.863 0.699 0.608
8 Se 0.312 0.801 0.108
9 Rb 0.821 0.000 0.358
10 Rb 0.571 0.500 0.858
11 Rb 0.179 0.000 0.642
12 Rb 0.929 0.500 0.142
13 Li 0.750 0.500 0.500
14 Li 0.000 0.000 0.000
15 Nb 0.250 0.500 0.500
16 Nb 0.500 0.000 0.000

***

[2]
First-principles (PBE) data for a relaxed structure of CaAcAsAu, as listed in the Alexandria database.

Summary:
DFT formation energy: -0.92 eV/atom
Space-group type: No. 216
Mass density: 8263 kg/m3
Calculated volume: 108.3 Å³/cell

a = 5.350 Å, b = 5.350 Å, c = 5.350 Å
α = 60.00°, β = 60.00°, γ = 60.00°
Element x y z (fractional)
1 Ca 0.750 0.750 0.750
2 Ac 0.250 0.250 0.250
3 As 0.500 0.500 0.500
4 Au 0.000 0.000 0.000

***

[3]
First-principles (PBE) data for a relaxed structure of Pr2ErPb2, as listed in the Alexandria database.

Summary:
DFT formation energy: -0.52 eV/atom
Space-group type: No. 127
Mass density: 9012 kg/m3
Calculated volume: 318.2 Å³/cell

a = 4.635 Å, b = 8.286 Å, c = 8.286 Å
α = 90.00°, β = 90.00°, γ = 90.00°
Element x y z (fractional)
1 Pb 0.000 0.364 0.864
2 Pb 0.000 0.636 0.136
3 Pb 0.000 0.864 0.636
4 Pb 0.000 0.136 0.364
5 Pr 0.500 0.169 0.669
6 Pr 0.500 0.831 0.331
7 Pr 0.500 0.331 0.169
8 Pr 0.500 0.669 0.831
9 Er 0.000 0.000 0.000
10 Er 0.000 0.500 0.500

***

[4]
First-principles (PBE) data for a relaxed structure of Zr2UMo, as listed in the Alexandria database.

Summary:
DFT formation energy: 0.42 eV/atom
Space-group type: No. 166
Mass density: 9969 kg/m3
Calculated volume: 86.0 Å³/cell

a = 3.125 Å, b = 3.125 Å, c = 10.333 Å
α = 81.30°, β = 81.30°, γ = 60.00°
Element x y z (fractional)
1 Mo 0.500 0.500 0.500
2 Zr 0.902 0.902 0.293
3 Zr 0.098 0.098 0.707
4 U 0.000 0.000 0.000